(1)
VASP calculation (PBE) on KTl2TeF after structural relaxation.

```
data_KTl2TeF
_cell_length_a 5.422
_cell_length_b 5.422
_cell_length_c 5.202
_cell_angle_alpha 90.00
_cell_angle_beta 90.00
_cell_angle_gamma 90.00
_space_group_name_H-M_alt 'P 1'
_space_group_IT_number 1
_space_group_name_Hall 'P 1'
loop_
_atom_site_label
_atom_site_type_symbol
_atom_site_fract_x
_atom_site_fract_y
_atom_site_fract_z
K1 K 0.000 0.000 0.000
Tl1 Tl 0.000 0.500 0.500
Tl2 Tl 0.500 0.000 0.500
Te1 Te 0.500 0.500 0.000
F1 F 0.000 0.000 0.500
```

Results
* DOS(E_F): 0.0 states/eV/cell
* crystal system: tetragonal
* E: -0.2425 Ry per atom
* space group: P4/mmm, No. 123
* V: 152.9 Å³/cell


(2)
VASP calculation (PBE) on K2TlTeF after structural relaxation.

```
data_K2TlTeF
_cell_length_a 5.261
_cell_length_b 5.261
_cell_length_c 5.485
_cell_angle_alpha 90.00
_cell_angle_beta 90.00
_cell_angle_gamma 90.00
_space_group_name_H-M_alt 'P 1'
_space_group_IT_number 1
_space_group_name_Hall 'P 1'
loop_
_atom_site_label
_atom_site_type_symbol
_atom_site_fract_x
_atom_site_fract_y
_atom_site_fract_z
K1 K 0.000 0.500 0.000
K2 K 0.500 0.000 0.000
Tl1 Tl 0.000 0.000 0.500
Te1 Te 0.500 0.500 0.500
F1 F 0.000 0.000 0.000
```

Results
* crystal system: tetragonal
* E: -0.2462 Ry per atom
* space group: P4/mmm, No. 123
* V: 151.8 Å³/cell


(3)
VASP calculation (PBE) on KTlTeF6 after structural relaxation.

```
data_KTlTeF6
_cell_length_a 6.645
_cell_length_b 6.645
_cell_length_c 10.101
_cell_angle_alpha 90.00
_cell_angle_beta 90.00
_cell_angle_gamma 120.00
_space_group_name_H-M_alt 'P 1'
_space_group_IT_number 1
_space_group_name_Hall 'P 1'
loop_
_atom_site_label
_atom_site_type_symbol
_atom_site_fract_x
_atom_site_fract_y
_atom_site_fract_z
K1 K 0.333 0.667 0.250
K2 K 0.667 0.333 0.750
Tl1 Tl 0.000 0.000 0.000
Tl2 Tl 0.000 0.000 0.500
Te1 Te 0.333 0.667 0.750
Te2 Te 0.667 0.333 0.250
F1 F 0.067 0.403 0.637
F2 F 0.067 0.665 0.863
F3 F 0.335 0.403 0.863
F4 F 0.335 0.933 0.637
F5 F 0.403 0.067 0.137
F6 F 0.403 0.335 0.363
F7 F 0.597 0.665 0.637
F8 F 0.597 0.933 0.863
F9 F 0.665 0.067 0.363
F10 F 0.665 0.597 0.137
F11 F 0.933 0.335 0.137
F12 F 0.933 0.597 0.363
```

Results
* DOS(E_F): 0.0 states/eV/cell
* crystal system: trigonal
* E: -0.3113 Ry per atom
* space group: P-31c, No. 163
* V: 386.3 Å³/cell


(4)
VASP calculation (PBE) on KYTe2F after structural relaxation.

```
data_KYTe2F
_cell_length_a 6.146
_cell_length_b 6.146
_cell_length_c 4.335
_cell_angle_alpha 90.00
_cell_angle_beta 90.00
_cell_angle_gamma 90.00
_space_group_name_H-M_alt 'P 1'
_space_group_IT_number 1
_space_group_name_Hall 'P 1'
loop_
_atom_site_label
_atom_site_type_symbol
_atom_site_fract_x
_atom_site_fract_y
_atom_site_fract_z
K1 K 0.000 0.000 0.000
Y1 Y 0.500 0.500 0.500
Te1 Te 0.000 0.500 0.500
Te2 Te 0.500 0.000 0.500
F1 F 0.500 0.500 0.000
```

Results
* DOS(E_F): 4.2 states/eV/cell
* crystal system: tetragonal
* E: -0.3618 Ry per atom
* space group: P4/mmm, No. 123
* V: 163.8 Å³/cell


(5)
VASP calculation (PBE) on KZrTe2F after structural relaxation.

```
data_KZrTe2F
_cell_length_a 5.768
_cell_length_b 5.768
_cell_length_c 4.304
_cell_angle_alpha 90.00
_cell_angle_beta 90.00
_cell_angle_gamma 90.00
_space_group_name_H-M_alt 'P 1'
_space_group_IT_number 1
_space_group_name_Hall 'P 1'
loop_
_atom_site_label
_atom_site_type_symbol
_atom_site_fract_x
_atom_site_fract_y
_atom_site_fract_z
K1 K 0.000 0.000 0.000
Zr1 Zr 0.500 0.500 0.500
Te1 Te 0.000 0.500 0.500
Te2 Te 0.500 0.000 0.500
F1 F 0.500 0.500 0.000
```

Results
* DOS(E_F): 0.9 states/eV/cell
* crystal system: tetragonal
* E: -0.3770 Ry per atom
* space group: P4/mmm, No. 123
* V: 143.2 Å³/cell


(6)
VASP calculation (PBE) on K2ThF6 after structural relaxation.

```
data_K2ThF6
_cell_length_a 7.408
_cell_length_b 7.408
_cell_length_c 7.264
_cell_angle_alpha 98.72
_cell_angle_beta 98.72
_cell_angle_gamma 119.98
_space_group_name_H-M_alt 'P 1'
_space_group_IT_number 1
_space_group_name_Hall 'P 1'
loop_
_atom_site_label
_atom_site_type_symbol
_atom_site_fract_x
_atom_site_fract_y
_atom_site_fract_z
K1 K 0.087 0.913 0.750
K2 K 0.238 0.762 0.250
K3 K 0.762 0.238 0.750
K4 K 0.913 0.087 0.250
Th1 Th 0.418 0.582 0.750
Th2 Th 0.582 0.418 0.250
F1 F 0.108 0.251 0.635
F2 F 0.164 0.618 0.866
F3 F 0.251 0.108 0.135
F4 F 0.337 0.484 0.395
F5 F 0.382 0.836 0.634
F6 F 0.484 0.337 0.895
F7 F 0.516 0.663 0.105
F8 F 0.618 0.164 0.366
F9 F 0.663 0.516 0.605
F10 F 0.749 0.892 0.865
F11 F 0.836 0.382 0.134
F12 F 0.892 0.749 0.365
```

Results
* DOS(E_F): 0.0 states/eV/cell
* crystal system: monoclinic
* E: -0.4367 Ry per atom
* space group: C2/c, No. 15
* V: 329.1 Å³/cell


(7)
VASP calculation (PBE) on K2ThF6 after structural relaxation.

```
data_K2ThF6
_cell_length_a 7.360
_cell_length_b 7.360
_cell_length_c 7.360
_cell_angle_alpha 146.86
_cell_angle_beta 130.14
_cell_angle_gamma 61.19
_space_group_name_H-M_alt 'P 1'
_space_group_IT_number 1
_space_group_name_Hall 'P 1'
loop_
_atom_site_label
_atom_site_type_symbol
_atom_site_fract_x
_atom_site_fract_y
_atom_site_fract_z
K1 K 0.170 0.170 0.000
K2 K 0.830 0.830 0.000
Th1 Th 0.500 0.500 0.000
F1 F 0.133 0.358 0.774
F2 F 0.297 0.000 0.297
F3 F 0.416 0.642 0.774
F4 F 0.584 0.358 0.226
F5 F 0.703 0.000 0.703
F6 F 0.867 0.642 0.226
```

Results
* DOS(E_F): 0.0 states/eV/cell
* crystal system: orthorhombic
* E: -0.4370 Ry per atom
* space group: Immm, No. 71
* V: 165.0 Å³/cell


(8)
VASP calculation (PBE) on K5ThF9 after structural relaxation.

```
data_K5ThF9
_cell_length_a 7.595
_cell_length_b 7.595
_cell_length_c 10.912
_cell_angle_alpha 90.00
_cell_angle_beta 90.00
_cell_angle_gamma 117.08
_space_group_name_H-M_alt 'P 1'
_space_group_IT_number 1
_space_group_name_Hall 'P 1'
loop_
_atom_site_label
_atom_site_type_symbol
_atom_site_fract_x
_atom_site_fract_y
_atom_site_fract_z
K1 K 0.078 0.922 0.500
K2 K 0.105 0.379 0.340
K3 K 0.147 0.356 0.683
K4 K 0.356 0.147 0.183
K5 K 0.379 0.105 0.840
K6 K 0.621 0.895 0.340
K7 K 0.644 0.853 0.683
K8 K 0.853 0.644 0.183
K9 K 0.895 0.621 0.840
K10 K 0.922 0.078 0.000
Th1 Th 0.338 0.662 0.036
Th2 Th 0.662 0.338 0.536
F1 F 0.003 0.448 0.052
F2 F 0.019 0.981 0.744
F3 F 0.151 0.849 0.008
F4 F 0.254 0.746 0.233
F5 F 0.288 0.347 0.970
F6 F 0.303 0.697 0.827
F7 F 0.347 0.288 0.470
F8 F 0.448 0.003 0.552
F9 F 0.458 0.542 0.196
F10 F 0.542 0.458 0.696
F11 F 0.552 0.997 0.052
F12 F 0.653 0.712 0.970
F13 F 0.697 0.303 0.327
F14 F 0.712 0.653 0.470
F15 F 0.746 0.254 0.733
F16 F 0.849 0.151 0.508
F17 F 0.981 0.019 0.244
F18 F 0.997 0.552 0.552
```

Results
* DOS(E_F): 0.0 states/eV/cell
* crystal system: orthorhombic
* E: -0.3861 Ry per atom
* space group: Cmc2_1, No. 36
* V: 560.4 Å³/cell


Copy entry 6 word for word.
VASP calculation (PBE) on K2ThF6 after structural relaxation.

```
data_K2ThF6
_cell_length_a 7.408
_cell_length_b 7.408
_cell_length_c 7.264
_cell_angle_alpha 98.72
_cell_angle_beta 98.72
_cell_angle_gamma 119.98
_space_group_name_H-M_alt 'P 1'
_space_group_IT_number 1
_space_group_name_Hall 'P 1'
loop_
_atom_site_label
_atom_site_type_symbol
_atom_site_fract_x
_atom_site_fract_y
_atom_site_fract_z
K1 K 0.087 0.913 0.750
K2 K 0.238 0.762 0.250
K3 K 0.762 0.238 0.750
K4 K 0.913 0.087 0.250
Th1 Th 0.418 0.582 0.750
Th2 Th 0.582 0.418 0.250
F1 F 0.108 0.251 0.635
F2 F 0.164 0.618 0.866
F3 F 0.251 0.108 0.135
F4 F 0.337 0.484 0.395
F5 F 0.382 0.836 0.634
F6 F 0.484 0.337 0.895
F7 F 0.516 0.663 0.105
F8 F 0.618 0.164 0.366
F9 F 0.663 0.516 0.605
F10 F 0.749 0.892 0.865
F11 F 0.836 0.382 0.134
F12 F 0.892 0.749 0.365
```

Results
* DOS(E_F): 0.0 states/eV/cell
* crystal system: monoclinic
* E: -0.4367 Ry per atom
* space group: C2/c, No. 15
* V: 329.1 Å³/cell


Among the records above, which one has the highest E?
KTl2TeF


Which formula does entry 3 have?
KTlTeF6